A plane-wave DFT calculation with PBE was carried out for a geometry-optimized PtCO2 structure.

The structure belongs to space group I-42d (No. 122); the cell edges are 4.763, 4.763 and 6.923 Å and the angles 90.00°, 90.00° and 90.00°. The distinct sites, in fractional coordinates, are Pt at (0.000, 0.000, 0.000), C at (0.000, 0.000, 0.500) and O at (0.082, 0.250, 0.625).

The value obtained for the total energy is -85.3 eV/cell. The formation energy (no corrections) comes out at 0.964 eV/atom. The calculation puts the density of states at the Fermi level at 2.1 states/eV/f.u.



A plane-wave DFT calculation with PBE was carried out for a geometry-optimized PrY2Zn2 structure.

The structure belongs to space group P2_1/m (No. 11); the cell edges are 3.659, 5.275 and 13.523 Å and the angles 90.00°, 97.78° and 90.00°. The distinct sites, in fractional coordinates, are Pr at (0.144, 0.250, 0.285), Y at (0.047, 0.750, 0.093), Y at (0.232, 0.750, 0.464), Zn at (0.360, 0.250, 0.720) and Zn at (0.454, 0.750, 0.908).

The value obtained for the total energy is -43.1 eV/cell. The offset from the most stable computed form comes out at 0.00 kcal/mol of atoms. The calculation puts the density of states at the Fermi level at 5.4 states/eV/f.u. The energy of formation from the pure elements is -255 meV/atom.